The following is a DFT calculation (PBE with a Hubbard U) of a geometry-optimized MnAs2PdO6 structure.

Structure (POSCAR):
```
MnAs2PdO6
1.0
4.950 -4.056 0.000
4.950 4.056 0.000
-2.470 0.000 6.024
Mn As Pd O
2 4 2 12
Cartesian
3.097 3.046 4.518
4.332 -3.046 1.506
1.202 0.221 4.586
2.437 -0.221 1.574
4.992 0.221 4.450
6.227 -0.221 1.438
4.332 1.565 1.506
3.097 -1.565 4.518
-0.443 0.526 4.040
0.793 -0.526 1.028
1.676 1.670 5.479
1.925 0.849 2.981
4.518 1.670 3.557
0.690 -0.849 5.993
6.740 0.849 0.031
2.911 -1.670 2.467
5.504 -0.849 3.043
5.754 -1.670 0.545
6.637 0.526 4.996
7.872 -0.526 1.984
```

Properties
space-group type: C2/c (15)
electronic total energy: -6.19 eV per atom